(1)
! Ti2TlFeAs | Alexandria | PBEsol | relaxed; values from VASP
! ΔH_f (0 K) = 877 meV/atom
! Final energy = -5.79 eV per atom
! Total magnetic moment = 2.6 μB per formula unit
&SYSTEM
  ibrav = 0, nat = 5, ntyp = 4
/
ATOMIC_SPECIES
Ti 47.87 Ti.upf
Fe 55.84 Fe.upf
As 74.92 As.upf
Tl 204.38 Tl.upf
ATOMIC_POSITIONS angstrom
Ti 0.000 2.323 0.000
Ti 2.323 0.000 0.000
Fe 2.323 2.323 2.563
As 0.000 0.000 0.000
Tl 0.000 0.000 2.563
CELL_PARAMETERS angstrom
4.645 0.000 0.000
0.000 4.645 0.000
0.000 0.000 5.126

(2)
! Ta2TcBr | Alexandria | PBEsol | relaxed; values from VASP
! Uncorrected formation energy = 0.64 eV per atom
! Final energy = -8.92 eV per atom
! Total magnetic moment = 0.0 μB per formula unit
&SYSTEM
  ibrav = 0, nat = 4, ntyp = 3
/
ATOMIC_SPECIES
Ta 180.95 Ta.upf
Tc 98.00 Tc.upf
Br 79.90 Br.upf
ATOMIC_POSITIONS angstrom
Ta 6.827 3.942 2.787
Ta 2.276 1.314 0.929
Tc 0.000 0.000 0.000
Br 4.551 2.628 1.858
CELL_PARAMETERS angstrom
4.551 0.000 0.000
2.276 3.942 0.000
2.276 1.314 3.716

(3)
! AlMo2As | Alexandria | PBEsol | relaxed; values from VASP
! ΔH_f (0 K) = -7 meV/atom
! Final energy = -8.19 eV per atom
! Total magnetic moment = 0.0 μB per formula unit
&SYSTEM
  ibrav = 0, nat = 4, ntyp = 3
/
ATOMIC_SPECIES
Al 26.98 Al.upf
Mo 95.94 Mo.upf
As 74.92 As.upf
ATOMIC_POSITIONS angstrom
Al 1.666 2.141 0.025
Mo 0.000 2.141 2.133
Mo 0.000 0.000 0.004
As 1.666 0.000 2.021
CELL_PARAMETERS angstrom
3.332 0.000 0.000
0.000 4.281 0.000
-1.666 -2.141 4.183

Question: Among the records above, which one has the lowest final energy?
Answer: Ta2TcBr